The following is a DFT calculation (GGA-PBE) of a geometry-optimized SrBCl3 structure.

Calculated values
* distance to the lowest polymorph of the same formula: 0.0 meV/atom
* electronic total energy: -17.5 eV per cell
* Fermi-level density of states: 0.03 states/eV/cell
* formation energy without anion corrections: -0.713 eV/atom

a b c (Å): 4.770 4.770 4.770
angles (deg): 90.00 90.00 90.00
Space group Pm-3m (No. 221)
Symmetry-distinct sites (fractional):
Sr  0.000  0.000  0.000 (multiplicity 1)
B  0.500  0.500  0.500 (multiplicity 1)
Cl  0.000  0.500  0.500 (multiplicity 3)

***

The following is a DFT calculation (GGA-PBE) of a geometry-optimized LiPdF5 structure.

Calculated values
* electronic total energy: -113.8 eV per cell
* Fermi-level density of states: 11.41 states/eV/cell
* formation energy without anion corrections: -1.711 eV/atom

a b c (Å): 8.023 6.956 7.494
angles (deg): 90.00 116.23 90.00
Space group C2/c (No. 15)
Symmetry-distinct sites (fractional):
Li  0.000  0.064  0.250 (multiplicity 4)
Pd  0.000  0.500  0.000 (multiplicity 4)
F  0.000  0.402  0.750 (multiplicity 4)
F  0.053  0.234  0.467 (multiplicity 8)
F  0.238  0.060  0.855 (multiplicity 8)

***

The following is a DFT calculation (GGA-PBE) of a geometry-optimized ScZnSi structure.

Calculated values
* electronic total energy: -14.5 eV per cell
* Fermi-level density of states: 1.00 states/eV/cell
* formation energy without anion corrections: -0.502 eV/atom

a b c (Å): 4.1196 4.1196 3.4342
angles (deg): 90.00 90.00 120.00
Space group P-6m2 (No. 187)
Symmetry-distinct sites (fractional):
Sc  0.0000  0.0000  0.0000 (multiplicity 1)
Zn  0.3333  0.6667  0.5000 (multiplicity 1)
Si  0.6667  0.3333  0.5000 (multiplicity 1)

***

The following is a DFT calculation (GGA-PBE) of a geometry-optimized BeCu2Tc structure.

Calculated values
* electronic total energy: -22.2 eV per cell
* Fermi-level density of states: 2.59 states/eV/cell
* formation energy from the elements: 0.03 eV per atom

a b c (Å): 2.607 2.607 6.844
angles (deg): 90.00 90.00 90.00
Space group P4mm (No. 99)
Symmetry-distinct sites (fractional):
Be  0.000  0.000  0.000 (multiplicity 1)
Cu  0.000  0.000  0.466 (multiplicity 1)
Cu  0.500  0.500  0.204 (multiplicity 1)
Tc  0.500  0.500  0.754 (multiplicity 1)

***

The following is a DFT calculation (GGA-PBE) of a geometry-optimized Pm3HgSe6 structure.

Calculated values
* electronic total energy: -197.1 eV per cell
* Fermi-level density of states: 30.29 states/eV/cell
* formation energy without anion corrections: -1.382 eV/atom

a b c (Å): 11.458 13.842 7.160
angles (deg): 90.00 90.00 90.00
Space group Cmc2_1 (No. 36)
Symmetry-distinct sites (fractional):
Pm  0.000  0.098  0.000 (multiplicity 4)
Pm  0.181  0.404  0.102 (multiplicity 8)
Hg  0.000  0.291  0.623 (multiplicity 4)
Se  0.000  0.273  0.259 (multiplicity 4)
Se  0.000  0.468  0.806 (multiplicity 4)
Se  0.162  0.036  0.300 (multiplicity 8)
Se  0.181  0.229  0.836 (multiplicity 8)

***

The following is a DFT calculation (GGA-PBE) of a geometry-optimized AcTh2Si structure.

Calculated values
* distance to the lowest polymorph of the same formula: 0.0 meV/atom
* electronic total energy: -75.1 eV per cell
* Fermi-level density of states: 12.37 states/eV/cell
* formation energy without anion corrections: -0.165 eV/atom

a b c (Å): 4.0120 4.0120 29.0302
angles (deg): 90.00 90.00 120.00
Space group R3m (No. 160, hexagonal axes)
Symmetry-distinct sites (fractional):
Ac  0.0000  0.0000  0.0000 (multiplicity 3)
Th  0.0000  0.0000  0.2269 (multiplicity 3)
Th  0.0000  0.0000  0.4391 (multiplicity 3)
Si  0.0000  0.0000  0.8329 (multiplicity 3)

***

- electronic total energy of number 3 (ScZnSi)?
  -14.5 eV per cell

***

- Which of these has the highest Fermi-level density of states?
  Pm3HgSe6

***

- Among the records above, which one has the highest Fermi-level density of states?
  Pm3HgSe6

***

- What is the electronic total energy in the sixth record?
  -75.1 eV per cell